(1)
HfBiO2F | GGA-PBE | relaxed

Results
**Space-group type**: P4/mmm, No. 123
**Magnetization**: 0.0 μB/f.u.
**Fermi-level density of states**: 0.414 states/eV/atom
**VASP energy**: -7.28 eV per atom

```
5
Lattice="4.164 0.000 0.000 0.000 4.164 0.000 0.000 0.000 4.357" Properties=species:S:1:pos:R:3 pbc="T T T"
Hf 0.000 0.000 0.000
Bi 2.082 2.082 2.179
O 0.000 2.082 0.000
O 2.082 0.000 0.000
F 0.000 0.000 2.179
```

=====

(2)
SbAs4Rh | GGA-PBE | relaxed

Results
**Space-group type**: F-43m, No. 216
**Magnetization**: 0.0 μB/f.u.
**Fermi-level density of states**: 0.887 states/eV/atom
**VASP energy**: -4.41 eV per atom

```
6
Lattice="0.000 3.913 3.913 3.913 0.000 3.913 3.913 3.913 0.000" Properties=species:S:1:pos:R:3 pbc="T T T"
Sb 0.000 0.000 0.000
As 4.888 2.938 2.938
As 2.938 4.888 2.938
As 2.938 2.938 4.888
As 4.888 4.888 4.888
Rh 1.957 1.957 1.957
```

=====

(3)
Ac3La3Tl2Zn | GGA-PBE | relaxed

Results
**DFT formation energy**: -0.23 eV/atom
**Space-group type**: P-62m, No. 189
**Magnetization**: 0.0 μB/f.u.
**Fermi-level density of states**: 1.194 states/eV/atom
**VASP energy**: -3.91 eV per atom

```
9
Lattice="9.469 0.000 0.000 -4.735 8.201 0.000 0.000 0.000 4.017" Properties=species:S:1:pos:R:3 pbc="T T T"
Ac -1.243 2.154 0.000
Ac 2.487 0.000 0.000
Ac 3.491 6.047 0.000
La -2.830 4.901 2.008
La 1.905 3.299 2.008
La 5.659 0.000 2.008
Tl 0.000 5.467 0.000
Tl 4.735 2.734 0.000
Zn 0.000 0.000 2.008
```

=====

> Among the records above, which one has the highest Fermi-level density of states?

Ac3La3Tl2Zn

=====

> Which of these has the lowest VASP energy?

HfBiO2F

=====

Copy entry 3 word for word.
Ac3La3Tl2Zn | GGA-PBE | relaxed

Results
**DFT formation energy**: -0.23 eV/atom
**Space-group type**: P-62m, No. 189
**Magnetization**: 0.0 μB/f.u.
**Fermi-level density of states**: 1.194 states/eV/atom
**VASP energy**: -3.91 eV per atom

```
9
Lattice="9.469 0.000 0.000 -4.735 8.201 0.000 0.000 0.000 4.017" Properties=species:S:1:pos:R:3 pbc="T T T"
Ac -1.243 2.154 0.000
Ac 2.487 0.000 0.000
Ac 3.491 6.047 0.000
La -2.830 4.901 2.008
La 1.905 3.299 2.008
La 5.659 0.000 2.008
Tl 0.000 5.467 0.000
Tl 4.735 2.734 0.000
Zn 0.000 0.000 2.008
```

=====

Copy entry 1 word for word.
HfBiO2F | GGA-PBE | relaxed

Results
**Space-group type**: P4/mmm, No. 123
**Magnetization**: 0.0 μB/f.u.
**Fermi-level density of states**: 0.414 states/eV/atom
**VASP energy**: -7.28 eV per atom

```
5
Lattice="4.164 0.000 0.000 0.000 4.164 0.000 0.000 0.000 4.357" Properties=species:S:1:pos:R:3 pbc="T T T"
Hf 0.000 0.000 0.000
Bi 2.082 2.082 2.179
O 0.000 2.082 0.000
O 2.082 0.000 0.000
F 0.000 0.000 2.179
```